## Mg2FeSe (PBE)

Data for an optimized crystal structure of Mg2FeSe.

Summary:
size of the total moment = 2.36 μB/f.u.
DFT total energy = -3.90 eV/atom
density of states at the Fermi level = 3.20 states/eV/cell
energy relative to the elements, uncorrected = -0.118 eV/atom

Cell: 3.4084 3.4259 6.0064 Å, 90.00 90.00 90.00°
Fractional coordinates of all 4 atoms:
Mg (0.0000, 0.0000, 0.2423)
Mg (0.0000, 0.0000, 0.7577)
Fe (0.5000, 0.5000, 0.0000)
Se (0.5000, 0.5000, 0.5000)